No. 1
Material: K2Na5Cd
Method: DFT, PBE
State: relaxed

a = 5.973 Å, b = 5.973 Å, c = 18.233 Å
α = 90.00°, β = 90.00°, γ = 90.00°
Space group I4/mmm (No. 139)
One atom of each set of equivalent atoms:
K (0.000, 0.000, 0.241) [4 per cell]
Na (0.000, 0.000, 0.500) [2 per cell]
Na (0.000, 0.500, 0.095) [8 per cell]
Cd (0.000, 0.000, 0.000) [2 per cell]

Output
The value obtained for the energy relative to the elements is 0.008 eV/atom. Its energy is -1.20 eV per atom.

No. 2
Material: HoTlCuAg
Method: DFT, PBE
State: relaxed

a = 6.887 Å, b = 6.887 Å, c = 6.887 Å
α = 90.00°, β = 90.00°, γ = 90.00°
Space group F-43m (No. 216)
One atom of each set of equivalent atoms:
Ho (0.000, 0.000, 0.000) [4 per cell]
Tl (0.000, 0.000, 0.500) [4 per cell]
Cu (0.250, 0.250, 0.250) [4 per cell]
Ag (0.250, 0.250, 0.750) [4 per cell]

Output
The value obtained for the energy relative to the elements is -0.172 eV/atom. Its energy is -3.64 eV per atom.

No. 3
Material: La4Y4Ho3
Method: DFT, PBE
State: relaxed

a = 3.540 Å, b = 5.712 Å, c = 18.535 Å
α = 98.85°, β = 95.47°, γ = 90.00°
Space group P-1 (No. 2)
One atom of each set of equivalent atoms:
La (0.046, 0.047, 0.092) [2 per cell]
La (0.179, 0.679, 0.358) [2 per cell]
Y (0.091, 0.592, 0.182) [2 per cell]
Y (0.233, 0.233, 0.465) [2 per cell]
Ho (0.363, 0.863, 0.726) [2 per cell]
Ho (0.500, 0.500, 0.000) [1 per cell]

Output
The value obtained for the energy relative to the elements is 0.065 eV/atom. For the energy relative to the lowest polymorph listed for this composition, the calculation gives 0.0 meV per atom. Its energy is -5.33 eV per atom.

No. 4
Material: AcPrDyTm
Method: DFT, PBE
State: relaxed

a = 3.7140 Å, b = 3.7140 Å, c = 11.8839 Å
α = 90.00°, β = 90.00°, γ = 120.00°
Space group P3m1 (No. 156)
One atom of each set of equivalent atoms:
Ac (0.0000, 0.0000, 0.0000) [1 per cell]
Pr (0.3333, 0.6667, 0.2701) [1 per cell]
Dy (0.6667, 0.3333, 0.5128) [1 per cell]
Tm (0.3333, 0.6667, 0.7444) [1 per cell]

Output
The value obtained for the energy relative to the elements is 0.054 eV/atom. For the energy relative to the lowest polymorph listed for this composition, the calculation gives 0.0 meV per atom. Its energy is -4.44 eV per atom.

No. 5
Material: SrCr2Ir
Method: DFT, PBE
State: relaxed

a = 9.035 Å, b = 3.096 Å, c = 6.126 Å
α = 90.00°, β = 104.89°, γ = 90.00°
Space group Cm (No. 8)
One atom of each set of equivalent atoms:
Sr (0.000, 0.000, 0.000) [2 per cell]
Cr (0.198, 0.000, 0.618) [2 per cell]
Cr (0.493, 0.000, 0.486) [2 per cell]
Ir (0.268, 0.500, 0.342) [2 per cell]

Output
The value obtained for the energy relative to the elements is 0.459 eV/atom. For the energy relative to the lowest polymorph listed for this composition, the calculation gives 68.5 meV per atom. Its energy is -6.99 eV per atom.

No. 6
Material: V2AsC
Method: DFT, PBE
State: relaxed

a = 3.1073 Å, b = 3.1073 Å, c = 11.4489 Å
α = 90.00°, β = 90.00°, γ = 120.00°
Space group P6_3/mmc (No. 194)
One atom of each set of equivalent atoms:
V (0.3333, 0.6667, 0.0912) [4 per cell]
As (0.3333, 0.6667, 0.7500) [2 per cell]
C (0.0000, 0.0000, 0.0000) [2 per cell]

Output
The value obtained for the energy relative to the elements is -0.536 eV/atom. For the energy relative to the lowest polymorph listed for this composition, the calculation gives 0.0 meV per atom. Its energy is -8.56 eV per atom.

No. 7
Material: KAlIr2
Method: DFT, PBE
State: relaxed

a = 2.760 Å, b = 3.884 Å, c = 7.661 Å
α = 90.00°, β = 90.00°, γ = 90.00°
Space group Pmm2 (No. 25)
One atom of each set of equivalent atoms:
K (0.000, 0.000, 0.000) [1 per cell]
Al (0.500, 0.500, 0.364) [1 per cell]
Ir (0.000, 0.000, 0.510) [1 per cell]
Ir (0.500, 0.500, 0.685) [1 per cell]

Output
The value obtained for the energy relative to the elements is 0.221 eV/atom. Its energy is -5.42 eV per atom.

No. 8
Material: SrCoAgP
Method: DFT, PBE
State: relaxed

a = 3.850 Å, b = 3.850 Å, c = 11.085 Å
α = 90.00°, β = 90.00°, γ = 90.00°
Space group P4/nmm (No. 129, origin choice 2)
One atom of each set of equivalent atoms:
Sr (0.250, 0.250, 0.244) [2 per cell]
Co (0.250, 0.750, 0.000) [2 per cell]
Ag (0.250, 0.750, 0.500) [2 per cell]
P (0.250, 0.250, 0.896) [2 per cell]

Output
The value obtained for the energy relative to the elements is -0.590 eV/atom. Its energy is -4.85 eV per atom.

No. 9
Material: Sc2MoCl
Method: DFT, PBE
State: relaxed

a = 3.572 Å, b = 5.228 Å, c = 8.293 Å
α = 90.00°, β = 90.00°, γ = 90.00°
Space group Cmmm (No. 65)
One atom of each set of equivalent atoms:
Sc (0.000, 0.000, 0.240) [4 per cell]
Mo (0.000, 0.500, 0.000) [2 per cell]
Cl (0.000, 0.500, 0.500) [2 per cell]

Output
For the energy relative to the lowest polymorph listed for this composition, the calculation gives 67.1 meV per atom. Its uncorrected formation energy is -0.48 eV per atom. Its energy is -6.82 eV per atom.

No. 10
Material: CuAgHg3
Method: DFT, PBE
State: relaxed

a = 5.420 Å, b = 5.420 Å, c = 5.420 Å
α = 90.00°, β = 90.00°, γ = 90.00°
Space group Pm-3m (No. 221)
One atom of each set of equivalent atoms:
Cu (0.000, 0.000, 0.000) [1 per cell]
Ag (0.500, 0.500, 0.500) [1 per cell]
Hg (0.000, 0.500, 0.500) [3 per cell]

Output
The value obtained for the energy relative to the elements is 0.598 eV/atom. For the energy relative to the lowest polymorph listed for this composition, the calculation gives 261.1 meV per atom. Its energy is -0.97 eV per atom.

No. 11
Material: Pm3Sm2Os2
Method: DFT, PBE
State: relaxed

a = 12.284 Å, b = 4.022 Å, c = 8.557 Å
α = 90.00°, β = 112.59°, γ = 90.00°
Space group C2/m (No. 12)
One atom of each set of equivalent atoms:
Pm (0.000, 0.000, 0.000) [2 per cell]
Pm (0.124, 0.000, 0.427) [4 per cell]
Sm (0.167, 0.500, 0.814) [4 per cell]
Os (0.180, 0.500, 0.218) [4 per cell]

Output
The value obtained for the energy relative to the elements is -0.124 eV/atom. Its energy is -6.72 eV per atom.

No. 12
Material: KSrLiTa2
Method: DFT, PBE
State: relaxed

a = 5.000 Å, b = 5.000 Å, c = 5.681 Å
α = 90.00°, β = 90.00°, γ = 90.00°
Space group P4/mmm (No. 123)
One atom of each set of equivalent atoms:
K (0.000, 0.000, 0.000) [1 per cell]
Sr (0.000, 0.000, 0.500) [1 per cell]
Li (0.500, 0.500, 0.500) [1 per cell]
Ta (0.000, 0.500, 0.000) [2 per cell]

Output
The value obtained for the energy relative to the elements is 2.419 eV/atom. Its energy is -3.26 eV per atom.

No. 13
Material: Zr7ScIn4
Method: DFT, PBE
State: relaxed

a = 11.335 Å, b = 5.382 Å, c = 11.032 Å
α = 90.00°, β = 120.45°, γ = 90.00°
Space group C2/m (No. 12)
One atom of each set of equivalent atoms:
Zr (0.000, 0.000, 0.000) [2 per cell]
Zr (0.034, 0.500, 0.376) [4 per cell]
Zr (0.149, 0.000, 0.557) [4 per cell]
Zr (0.215, 0.500, 0.905) [4 per cell]
Sc (0.000, 0.500, 0.000) [2 per cell]
In (0.085, 0.000, 0.780) [4 per cell]
In (0.215, 0.000, 0.322) [4 per cell]

Output
The value obtained for the energy relative to the elements is 0.098 eV/atom. Its energy is -6.33 eV per atom.

No. 14
Material: La2ScCrMo
Method: DFT, PBE
State: relaxed

a = 5.628 Å, b = 5.628 Å, c = 4.448 Å
α = 90.00°, β = 90.00°, γ = 90.00°
Space group P4/mmm (No. 123)
One atom of each set of equivalent atoms:
La (0.000, 0.500, 0.000) [2 per cell]
Sc (0.000, 0.000, 0.500) [1 per cell]
Cr (0.500, 0.500, 0.500) [1 per cell]
Mo (0.500, 0.500, 0.000) [1 per cell]

Output
The value obtained for the energy relative to the elements is 0.787 eV/atom. Its energy is -6.54 eV per atom.

No. 15
Material: TbGaCl
Method: DFT, PBE
State: relaxed

a = 22.676 Å, b = 3.902 Å, c = 7.547 Å
α = 90.00°, β = 94.50°, γ = 90.00°
Space group C2/m (No. 12)
One atom of each set of equivalent atoms:
Tb (0.145, 0.000, 0.103) [4 per cell]
Tb (0.146, 0.000, 0.590) [4 per cell]
Ga (0.244, 0.500, 0.630) [4 per cell]
Ga (0.245, 0.500, 0.120) [4 per cell]
Cl (0.064, 0.000, 0.825) [4 per cell]
Cl (0.095, 0.500, 0.335) [4 per cell]

Output
Its uncorrected formation energy is -1.08 eV per atom. Its energy is -4.25 eV per atom.

No. 16
Material: NaPuTl4
Method: DFT, PBE
State: relaxed

a = 3.418 Å, b = 5.278 Å, c = 9.419 Å
α = 90.00°, β = 92.21°, γ = 90.00°
Space group P2/m (No. 10)
One atom of each set of equivalent atoms:
Na (0.000, 0.000, 0.000) [1 per cell]
Pu (0.000, 0.500, 0.500) [1 per cell]
Tl (0.397, 0.500, 0.837) [2 per cell]
Tl (0.408, 0.000, 0.333) [2 per cell]

Output
The value obtained for the energy relative to the elements is -0.021 eV/atom. For the energy relative to the lowest polymorph listed for this composition, the calculation gives 0.0 meV per atom. Its energy is -4.21 eV per atom.

No. 17
Material: Sc3CdPt
Method: DFT, PBE
State: relaxed

a = 5.139 Å, b = 5.139 Å, c = 5.139 Å
α = 90.00°, β = 90.00°, γ = 90.00°
Space group Pm-3m (No. 221)
One atom of each set of equivalent atoms:
Sc (0.000, 0.000, 0.500) [3 per cell]
Cd (0.000, 0.000, 0.000) [1 per cell]
Pt (0.500, 0.500, 0.500) [1 per cell]

Output
The value obtained for the energy relative to the elements is 0.610 eV/atom. For the energy relative to the lowest polymorph listed for this composition, the calculation gives 906.6 meV per atom. Its energy is -4.58 eV per atom.

No. 18
Material: Zr2MnGaH
Method: DFT, PBE
State: relaxed

a = 4.515 Å, b = 4.515 Å, c = 3.590 Å
α = 90.00°, β = 90.00°, γ = 90.00°
Space group P4/mmm (No. 123)
One atom of each set of equivalent atoms:
Zr (0.000, 0.500, 0.000) [2 per cell]
Mn (0.000, 0.000, 0.500) [1 per cell]
Ga (0.500, 0.500, 0.500) [1 per cell]
H (0.000, 0.000, 0.000) [1 per cell]

Output
Its energy is -6.86 eV per atom.

No. 19
Material: Cs3Tl2I7
Method: DFT, PBE
State: relaxed

a = 6.377 Å, b = 31.031 Å, c = 6.168 Å
α = 90.00°, β = 90.00°, γ = 90.00°
Space group Cmmm (No. 65)
One atom of each set of equivalent atoms:
Cs (0.000, 0.000, 0.000) [2 per cell]
Cs (0.000, 0.182, 0.000) [4 per cell]
Tl (0.000, 0.396, 0.500) [4 per cell]
I (0.000, 0.099, 0.500) [4 per cell]
I (0.000, 0.295, 0.500) [4 per cell]
I (0.000, 0.400, 0.000) [4 per cell]
I (0.000, 0.500, 0.500) [2 per cell]

Output
For the energy relative to the lowest polymorph listed for this composition, the calculation gives 15.3 meV per atom. Its uncorrected formation energy is -0.95 eV per atom. Its energy is -2.46 eV per atom.

No. 20
Material: ScMnBe
Method: DFT, PBE
State: relaxed

a = 4.666 Å, b = 4.880 Å, c = 6.988 Å
α = 90.00°, β = 90.00°, γ = 90.00°
Space group Imma (No. 74)
One atom of each set of equivalent atoms:
Sc (0.000, 0.250, 0.119) [4 per cell]
Mn (0.250, 0.250, 0.750) [4 per cell]
Be (0.000, 0.000, 0.500) [4 per cell]

Output
The value obtained for the energy relative to the elements is -0.126 eV/atom. For the energy relative to the lowest polymorph listed for this composition, the calculation gives 0.0 meV per atom. Its energy is -6.54 eV per atom.

No. 21
Material: ScNb2Ir2
Method: DFT, PBE
State: relaxed

a = 7.662 Å, b = 7.662 Å, c = 3.046 Å
α = 90.00°, β = 90.00°, γ = 90.00°
Space group P4/mbm (No. 127)
One atom of each set of equivalent atoms:
Sc (0.000, 0.000, 0.000) [2 per cell]
Nb (0.168, 0.332, 0.500) [4 per cell]
Ir (0.130, 0.630, 0.000) [4 per cell]

Output
The value obtained for the energy relative to the elements is -0.436 eV/atom. For the energy relative to the lowest polymorph listed for this composition, the calculation gives 0.0 meV per atom. Its energy is -9.27 eV per atom.

No. 22
Material: RbAlSeN2
Method: DFT, PBE
State: relaxed

a = 5.162 Å, b = 5.162 Å, c = 6.712 Å
α = 90.00°, β = 90.00°, γ = 90.00°
Space group P4/mmm (No. 123)
One atom of each set of equivalent atoms:
Rb (0.000, 0.000, 0.000) [1 per cell]
Al (0.500, 0.500, 0.500) [1 per cell]
Se (0.000, 0.000, 0.500) [1 per cell]
N (0.000, 0.500, 0.000) [2 per cell]

Output
For the energy relative to the lowest polymorph listed for this composition, the calculation gives 1509.8 meV per atom. Its uncorrected formation energy is 2.15 eV per atom. Its energy is -2.82 eV per atom.

No. 23
Material: SmY9Ho2
Method: DFT, PBE
State: relaxed

a = 5.048 Å, b = 5.048 Å, c = 15.140 Å
α = 90.00°, β = 90.00°, γ = 90.00°
Space group P4/mmm (No. 123)
One atom of each set of equivalent atoms:
Sm (0.000, 0.000, 0.000) [1 per cell]
Y (0.000, 0.500, 0.168) [4 per cell]
Y (0.000, 0.500, 0.500) [2 per cell]
Y (0.500, 0.500, 0.000) [1 per cell]
Y (0.500, 0.500, 0.334) [2 per cell]
Ho (0.000, 0.000, 0.334) [2 per cell]

Output
The value obtained for the energy relative to the elements is 0.025 eV/atom. Its energy is -5.98 eV per atom.

No. 24
Material: Tb4CdPd2Au
Method: DFT, PBE
State: relaxed

a = 5.0923 Å, b = 5.0923 Å, c = 25.0175 Å
α = 90.00°, β = 90.00°, γ = 120.00°
Space group R-3m (No. 166, hexagonal axes)
One atom of each set of equivalent atoms:
Tb (0.0000, 0.0000, 0.1217) [6 per cell]
Tb (0.0000, 0.0000, 0.3722) [6 per cell]
Cd (0.0000, 0.0000, 0.5000) [3 per cell]
Pd (0.0000, 0.0000, 0.2436) [6 per cell]
Au (0.0000, 0.0000, 0.0000) [3 per cell]

Output
The value obtained for the energy relative to the elements is -0.709 eV/atom. Its energy is -4.85 eV per atom.

No. 25
Material: BaLiMg2AlSi3O10F2
Method: DFT, PBE
State: relaxed

a = 5.300 Å, b = 5.311 Å, c = 10.297 Å
α = 95.61°, β = 94.66°, γ = 119.81°
Space group P1 (No. 1)
One atom of each set of equivalent atoms:
Ba (0.000, 0.000, 0.000) [1 per cell]
Li (0.502, 0.504, 0.530) [1 per cell]
Mg (0.173, 0.837, 0.527) [1 per cell]
Mg (0.845, 0.173, 0.525) [1 per cell]
Al (0.266, 0.595, 0.791) [1 per cell]
Si (0.416, 0.752, 0.253) [1 per cell]
Si (0.602, 0.263, 0.800) [1 per cell]
Si (0.749, 0.414, 0.253) [1 per cell]
O (0.060, 0.559, 0.186) [1 per cell]
O (0.200, 0.538, 0.623) [1 per cell]
O (0.416, 0.966, 0.868) [1 per cell]
O (0.471, 0.815, 0.409) [1 per cell]
O (0.512, 0.498, 0.866) [1 per cell]
O (0.547, 0.200, 0.641) [1 per cell]
O (0.559, 0.558, 0.187) [1 per cell]
O (0.561, 0.058, 0.183) [1 per cell]
O (0.803, 0.463, 0.409) [1 per cell]
O (0.948, 0.401, 0.867) [1 per cell]
F (0.118, 0.107, 0.414) [1 per cell]
F (0.884, 0.884, 0.629) [1 per cell]

Output
Its uncorrected formation energy is -2.97 eV per atom. Its energy is -6.99 eV per atom.